1.
Below is a relaxed structure of Eu6In, with properties calculated at the PBE level.

Structure (CIF):
```
data_Eu6In
_chemical_formula_sum 'Eu6 In1'
_cell_length_a 8.089
_cell_length_b 8.089
_cell_length_c 8.089
_cell_angle_alpha 109.47
_cell_angle_beta 109.47
_cell_angle_gamma 109.47
_space_group_name_H-M_alt 'P 1'
_space_group_IT_number 1
loop_
_space_group_symop_operation_xyz
'x,y,z'
loop_
_atom_site_label
_atom_site_fract_x
_atom_site_fract_y
_atom_site_fract_z
_atom_site_occupancy
Eu1 0.250 0.750 0.500 1
Eu2 0.500 0.750 0.250 1
Eu3 0.250 0.500 0.750 1
Eu4 0.750 0.250 0.500 1
Eu5 0.500 0.250 0.750 1
Eu6 0.750 0.500 0.250 1
In1 0.000 0.000 0.000 1
```

The calculation puts the mass density at 4.18 g cm⁻³. The value obtained for the total DFT energy (no corrections) is -8.086 eV per atom.



2.
Below is a relaxed structure of KTc4Pb, with properties calculated at the PBE level.

Structure (CIF):
```
data_KTc4Pb
_chemical_formula_sum 'K1 Tc4 Pb1'
_cell_length_a 5.399
_cell_length_b 5.399
_cell_length_c 5.399
_cell_angle_alpha 60.00
_cell_angle_beta 60.00
_cell_angle_gamma 60.00
_space_group_name_H-M_alt 'P 1'
_space_group_IT_number 1
loop_
_space_group_symop_operation_xyz
'x,y,z'
loop_
_atom_site_label
_atom_site_fract_x
_atom_site_fract_y
_atom_site_fract_z
_atom_site_occupancy
K1 0.750 0.750 0.750 1
Tc1 0.879 0.374 0.374 1
Tc2 0.374 0.374 0.879 1
Tc3 0.374 0.879 0.374 1
Tc4 0.374 0.374 0.374 1
Pb1 0.000 0.000 0.000 1
```

The calculation puts the mass density at 9.52 g cm⁻³. The value obtained for the total DFT energy (no corrections) is -6.811 eV per atom.



3.
Below is a relaxed structure of Ta2TcAs, with properties calculated at the PBE level.

Structure (CIF):
```
data_Ta2TcAs
_chemical_formula_sum 'Ta2 Tc1 As1'
_cell_length_a 3.399
_cell_length_b 3.316
_cell_length_c 6.274
_cell_angle_alpha 74.64
_cell_angle_beta 90.00
_cell_angle_gamma 90.00
_space_group_name_H-M_alt 'P 1'
_space_group_IT_number 1
loop_
_space_group_symop_operation_xyz
'x,y,z'
loop_
_atom_site_label
_atom_site_fract_x
_atom_site_fract_y
_atom_site_fract_z
_atom_site_occupancy
As1 0.500 0.543 0.790 1
Tc1 0.000 0.697 0.482 1
Ta1 0.000 0.954 0.969 1
Ta2 0.500 0.307 0.260 1
```

The calculation puts the mass density at 13.02 g cm⁻³. The value obtained for the total DFT energy (no corrections) is -9.946 eV per atom.



4.
Below is a relaxed structure of BeCr2NiIr, with properties calculated at the PBE level.

Structure (CIF):
```
data_BeCr2NiIr
_chemical_formula_sum 'Be1 Cr2 Ni1 Ir1'
_cell_length_a 4.321
_cell_length_b 4.520
_cell_length_c 4.321
_cell_angle_alpha 90.00
_cell_angle_beta 90.00
_cell_angle_gamma 90.00
_space_group_name_H-M_alt 'P 1'
_space_group_IT_number 1
loop_
_space_group_symop_operation_xyz
'x,y,z'
loop_
_atom_site_label
_atom_site_fract_x
_atom_site_fract_y
_atom_site_fract_z
_atom_site_occupancy
Ni1 0.000 0.000 0.000 1
Ir1 0.000 0.500 0.000 1
Be1 0.500 0.500 0.500 1
Cr1 0.000 0.000 0.500 1
Cr2 0.500 0.000 0.000 1
```

The calculation puts the mass density at 7.16 g cm⁻³. The value obtained for the total DFT energy (no corrections) is -6.137 eV per atom.



5.
Below is a relaxed structure of Sr2Dy2Mg15, with properties calculated at the PBE level.

Structure (CIF):
```
data_Sr2Dy2Mg15
_chemical_formula_sum 'Sr2 Dy2 Mg15'
_cell_length_a 8.092
_cell_length_b 8.092
_cell_length_c 8.092
_cell_angle_alpha 82.97
_cell_angle_beta 82.97
_cell_angle_gamma 82.97
_space_group_name_H-M_alt 'P 1'
_space_group_IT_number 1
loop_
_space_group_symop_operation_xyz
'x,y,z'
loop_
_atom_site_label
_atom_site_fract_x
_atom_site_fract_y
_atom_site_fract_z
_atom_site_occupancy
Sr1 0.341 0.341 0.341 1
Sr2 0.659 0.659 0.659 1
Dy1 0.098 0.098 0.098 1
Dy2 0.902 0.902 0.902 1
Mg1 0.500 0.000 0.000 1
Mg2 0.000 0.000 0.500 1
Mg3 0.000 0.500 0.000 1
Mg4 0.000 0.710 0.290 1
Mg5 0.710 0.290 0.000 1
Mg6 0.290 0.000 0.710 1
Mg7 0.290 0.710 0.000 1
Mg8 0.710 0.000 0.290 1
Mg9 0.000 0.290 0.710 1
Mg10 0.150 0.648 0.648 1
Mg11 0.648 0.648 0.150 1
Mg12 0.648 0.150 0.648 1
Mg13 0.850 0.352 0.352 1
Mg14 0.352 0.352 0.850 1
Mg15 0.352 0.850 0.352 1
```

The calculation puts the mass density at 2.77 g cm⁻³. The value obtained for the total DFT energy (no corrections) is -1.943 eV per atom.



6.
Below is a relaxed structure of Ca2HfTcGe, with properties calculated at the PBE level.

Structure (CIF):
```
data_Ca2HfTcGe
_chemical_formula_sum 'Ca2 Hf1 Tc1 Ge1'
_cell_length_a 5.367
_cell_length_b 4.707
_cell_length_c 5.367
_cell_angle_alpha 90.00
_cell_angle_beta 90.00
_cell_angle_gamma 90.00
_space_group_name_H-M_alt 'P 1'
_space_group_IT_number 1
loop_
_space_group_symop_operation_xyz
'x,y,z'
loop_
_atom_site_label
_atom_site_fract_x
_atom_site_fract_y
_atom_site_fract_z
_atom_site_occupancy
Ge1 0.000 0.000 0.000 1
Ca1 0.000 0.000 0.500 1
Ca2 0.500 0.000 0.000 1
Hf1 0.500 0.500 0.500 1
Tc1 0.000 0.500 0.000 1
```

The calculation puts the mass density at 5.26 g cm⁻³. The value obtained for the total DFT energy (no corrections) is -5.055 eV per atom.